Record 1
MnAlMo2: optimized geometry, PBE-GGA.

Output
magnetization	3.960	μB/cell
DFT total energy	-69.44	eV/cell

```
data_MnAlMo2
_space_group_name_H-M_alt 'C m m 2'
_space_group_IT_number 35
_cell_length_a 3.2423
_cell_length_b 4.3178
_cell_length_c 8.3744
_cell_angle_alpha 90.00
_cell_angle_beta 90.00
_cell_angle_gamma 90.00
loop_
_space_group_symop_operation_xyz
'x,y,z'
'-x,-y,z'
'-x,y,z'
'x,-y,z'
'x+1/2,y+1/2,z'
'-x+1/2,-y+1/2,z'
'-x+1/2,y+1/2,z'
'x+1/2,-y+1/2,z'
loop_
_atom_site_label
_atom_site_type_symbol
_atom_site_fract_x
_atom_site_fract_y
_atom_site_fract_z
Mn1 Mn 0.0000 0.0000 0.0000
Al1 Al 0.0000 0.5000 0.7676
Mo1 Mo 0.0000 0.0000 0.5069
Mo2 Mo 0.0000 0.5000 0.2379
```



Record 2
Mn2Al2Mo: optimized geometry, PBE-GGA.

Output
magnetization	9.905	μB/cell
DFT total energy	-73.51	eV/cell

```
data_Mn2Al2Mo
_space_group_name_H-M_alt 'P 4/m b m'
_space_group_IT_number 127
_space_group_name_Hall '-P 4 2ab'
_cell_length_a 7.0847
_cell_length_b 7.0847
_cell_length_c 2.7786
_cell_angle_alpha 90.00
_cell_angle_beta 90.00
_cell_angle_gamma 90.00
loop_
_atom_site_label
_atom_site_type_symbol
_atom_site_fract_x
_atom_site_fract_y
_atom_site_fract_z
Mn1 Mn 0.1655 0.3345 0.0000
Al1 Al 0.1321 0.6321 0.5000
Mo1 Mo 0.0000 0.0000 0.5000
```



Question: The highest magnetization belongs to which entry?
Answer: Mn2Al2Mo



What did the second record say?
Mn2Al2Mo: optimized geometry, PBE-GGA.

Output
magnetization	9.905	μB/cell
DFT total energy	-73.51	eV/cell

```
data_Mn2Al2Mo
_space_group_name_H-M_alt 'P 4/m b m'
_space_group_IT_number 127
_space_group_name_Hall '-P 4 2ab'
_cell_length_a 7.0847
_cell_length_b 7.0847
_cell_length_c 2.7786
_cell_angle_alpha 90.00
_cell_angle_beta 90.00
_cell_angle_gamma 90.00
loop_
_atom_site_label
_atom_site_type_symbol
_atom_site_fract_x
_atom_site_fract_y
_atom_site_fract_z
Mn1 Mn 0.1655 0.3345 0.0000
Al1 Al 0.1321 0.6321 0.5000
Mo1 Mo 0.0000 0.0000 0.5000
```



Question: Which of these has the lowest DFT total energy?
Answer: Mn2Al2Mo



Question: Which value of DFT total energy does entry 1 give?
Answer: -69.44 eV/cell